Here is LiRe3Bi5 after structural relaxation from the Open Quantum Materials Database. Energies are from PBE.

## Properties
E in eV/cell: -54.24
Size of the total moment in μB/atom: 0.036
Mass density in g/cm3: 11.2

Lattice parameters (Å, degrees): 5.6487 5.6487 8.6757 90.00 90.00 120.00
Fractional positions:
1 Li 0.0000 0.0000 0.0000
2 Re 0.0000 0.5000 0.5000
3 Re 0.5000 0.0000 0.5000
4 Re 0.5000 0.5000 0.5000
5 Bi 0.0000 0.0000 0.5000
6 Bi 0.3333 0.6667 0.2169
7 Bi 0.3333 0.6667 0.7831
8 Bi 0.6667 0.3333 0.2169
9 Bi 0.6667 0.3333 0.7831